1.
A relaxed LiFeMoPb crystal. Source: the Open Quantum Materials Database, functional PBE-GGA.

abc: 4.3728 4.3728 4.3728
angles: 60.00 60.00 60.00
Last column: nearest neighbours and their distance in Å.
Atoms (fractional coordinates):
Li 0.0000 0.0000 0.0000  4 Mo 2.68, 4 Pb 2.68
Fe 0.5000 0.5000 0.5000  4 Pb 2.68, 4 Mo 2.68
Mo 0.7500 0.7500 0.7500  4 Fe 2.68, 4 Li 2.68
Pb 0.2500 0.2500 0.2500  4 Fe 2.68, 4 Li 2.68

Results
**Total magnetization**: 1.0 μB/cell
**Excess energy over the best structure of this formula in the dataset**: 0 meV per atom
**Symmetry**: F-43m (216)


2.
A relaxed UFe crystal. Source: the Open Quantum Materials Database, functional PBE-GGA.

abc: 4.1618 4.1618 5.3194
angles: 90.00 90.00 120.00
Last column: nearest neighbours and their distance in Å.
Atoms (fractional coordinates):
U 0.3333 0.6667 0.2500  5 Fe 2.40-2.66
U 0.6667 0.3333 0.7500  5 Fe 2.40-2.66
Fe 0.3333 0.6667 0.7500  5 U 2.40-2.66
Fe 0.6667 0.3333 0.2500  5 U 2.40-2.66

Results
**Total magnetization**: 2.6 μB/cell
**Symmetry**: P6_3/mmc (194)
**Energy of formation**: 0.95 eV/atom


3.
A relaxed Y2BIr2 crystal. Source: the Open Quantum Materials Database, functional PBE-GGA.

abc: 5.1828 5.1828 5.1828
angles: 115.49 115.49 98.00
Last column: nearest neighbours and their distance in Å.
Atoms (fractional coordinates):
Y 0.2500 0.7500 0.5000  4 Ir 2.78
Y 0.7500 0.2500 0.5000  4 Ir 2.78
B 0.0000 0.0000 0.0000  2 Ir 2.01
Ir 0.2962 0.2962 0.0000  1 B 2.01
Ir 0.7038 0.7038 0.0000  1 B 2.01

Results
**Total magnetization**: 0.0 μB/cell
**Excess energy over the best structure of this formula in the dataset**: 0 meV per atom
**Symmetry**: I4/mmm (139)


4.
A relaxed BaLiGeAu crystal. Source: the Open Quantum Materials Database, functional PBE-GGA.

abc: 5.2906 5.2906 5.2906
angles: 60.00 60.00 60.00
Last column: nearest neighbours and their distance in Å.
Atoms (fractional coordinates):
Ba 0.0000 0.0000 0.0000  4 Ge 3.24, 4 Au 3.24
Li 0.5000 0.5000 0.5000  4 Ge 3.24, 4 Au 3.24
Ge 0.7500 0.7500 0.7500  4 Li 3.24, 4 Ba 3.24
Au 0.2500 0.2500 0.2500  4 Li 3.24, 4 Ba 3.24

Results
**Excess energy over the best structure of this formula in the dataset**: 67 meV per atom
**Symmetry**: F-43m (216)


5.
A relaxed BaDyAuSeS2 crystal. Source: the Open Quantum Materials Database, functional PBE-GGA.

abc: 7.3675 7.3675 10.6150
angles: 90.00 90.00 147.39
Last column: nearest neighbours and their distance in Å.
Atoms (fractional coordinates):
Ba 0.2411 0.7589 0.7500  2 Se 3.23, 4 S 3.35, 2 Au 3.53
Ba 0.7589 0.2411 0.2500  2 Se 3.23, 4 S 3.35, 2 Au 3.53
Dy 0.0000 0.0000 0.0000  4 S 2.82, 2 Se 2.91
Dy 0.0000 0.0000 0.5000  4 S 2.82, 2 Se 2.91
Au 0.4613 0.5387 0.2500  2 S 2.48, 2 Se 2.70
Au 0.5387 0.4613 0.7500  2 S 2.48, 2 Se 2.70
Se 0.0837 0.9163 0.2500  2 Au 2.70, 2 Dy 2.91
Se 0.9163 0.0837 0.7500  2 Au 2.70, 2 Dy 2.91
S 0.3700 0.6300 0.0508  1 Au 2.48
S 0.3700 0.6300 0.4492  1 Au 2.48
S 0.6300 0.3700 0.5508  1 Au 2.48
S 0.6300 0.3700 0.9492  1 Au 2.48

Results
**Total magnetization**: 0.0 μB/cell
**Raw total energy**: -5.13 eV/atom
**Symmetry**: Cmcm (63)


6.
A relaxed Nb2Sb3W4C3 crystal. Source: the Open Quantum Materials Database, functional PBE-GGA.

abc: 5.7294 5.7294 13.3834
angles: 101.70 101.70 59.87
Last column: nearest neighbours and their distance in Å.
Atoms (fractional coordinates):
Nb 0.0313 0.8698 0.5916  3 C 2.26-2.29
Nb 0.1302 0.9687 0.9084  3 C 2.26-2.29
Nb 0.8698 0.0313 0.0916  3 C 2.26-2.29
Nb 0.9687 0.1302 0.4084  3 C 2.26-2.29
Sb 0.0841 0.2674 0.7502  4 W 2.85-2.95, 2 Nb 2.87-2.88
Sb 0.2674 0.0841 0.2502  4 W 2.85-2.95, 2 Nb 2.87-2.88
Sb 0.4349 0.5651 0.7500  4 W 2.89-2.95, 2 Nb 2.89, 4 Sb 3.22
Sb 0.5651 0.4349 0.2500  4 W 2.89-2.95, 2 Nb 2.89, 4 Sb 3.22
Sb 0.7326 0.9159 0.7498  4 W 2.85-2.95, 2 Nb 2.87-2.88
Sb 0.9159 0.7326 0.2498  4 W 2.85-2.95, 2 Nb 2.87-2.88
W 0.1925 0.3473 0.0785  3 C 2.13-2.18
W 0.2991 0.4863 0.4209  3 C 2.14-2.18
W 0.3473 0.1925 0.5785  3 C 2.13-2.18
W 0.4863 0.2991 0.9209  3 C 2.14-2.18
W 0.5137 0.7009 0.0791  3 C 2.14-2.18
W 0.6527 0.8075 0.4215  3 C 2.13-2.18
W 0.7009 0.5137 0.5791  3 C 2.14-2.18
W 0.8075 0.6527 0.9215  3 C 2.13-2.18
C 0.0000 0.5000 0.5000  4 W 2.13-2.15, 2 Nb 2.29
C 0.1712 0.6561 0.0000  4 W 2.14-2.18, 2 Nb 2.26-2.27
C 0.3439 0.8288 0.5000  4 W 2.14-2.18, 2 Nb 2.26-2.27
C 0.5000 0.0000 0.0000  4 W 2.13-2.15, 2 Nb 2.29
C 0.6561 0.1712 0.5000  4 W 2.14-2.18, 2 Nb 2.26-2.27
C 0.8288 0.3439 0.0000  4 W 2.14-2.18, 2 Nb 2.26-2.27

Results
**Total magnetization**: 0.0 μB/cell
**Raw total energy**: -9.25 eV/atom
**Symmetry**: C2/c (15)


7.
A relaxed CdSnTeO crystal. Source: the Open Quantum Materials Database, functional PBE-GGA.

abc: 7.9113 7.9113 6.8090
angles: 90.00 90.00 151.80
Last column: nearest neighbours and their distance in Å.
Atoms (fractional coordinates):
Cd 0.1743 0.8257 0.5000  2 O 2.25
Cd 0.8257 0.1743 0.0000  2 O 2.25
Sn 0.4517 0.5483 0.6284  1 O 2.07
Sn 0.5483 0.4517 0.1284  1 O 2.07
Te 0.1665 0.8335 0.9231  3 Cd 2.88-3.16, 2 Sn 2.99
Te 0.8335 0.1665 0.4231  3 Cd 2.88-3.16, 2 Sn 2.99
O 0.3830 0.6170 0.8897  1 Sn 2.07, 2 Cd 2.25
O 0.6170 0.3830 0.3897  1 Sn 2.07, 2 Cd 2.25

Results
**Excess energy over the best structure of this formula in the dataset**: 177 meV per atom
**Symmetry**: Cmc2_1 (36)


8.
A relaxed Li8DyO6 crystal. Source: the Open Quantum Materials Database, functional PBE-GGA.

abc: 6.1934 6.1934 6.1934
angles: 53.35 53.35 53.35
Last column: nearest neighbours and their distance in Å.
Atoms (fractional coordinates):
Li 0.0111 0.7266 0.3938  4 O 1.88-2.01
Li 0.1536 0.1536 0.1536  3 O 2.16
Li 0.2734 0.6062 0.9889  4 O 1.88-2.01
Li 0.3938 0.0111 0.7266  4 O 1.88-2.01
Li 0.6062 0.9889 0.2734  4 O 1.88-2.01
Li 0.7266 0.3938 0.0111  4 O 1.88-2.01
Li 0.8464 0.8464 0.8464  3 O 2.16
Li 0.9889 0.2734 0.6062  4 O 1.88-2.01
Dy 0.5000 0.5000 0.5000  6 O 2.25
O 0.0975 0.4035 0.7442  4 Li 1.88-2.01
O 0.2558 0.9025 0.5965  4 Li 1.88-2.01
O 0.4035 0.7442 0.0975  4 Li 1.88-2.01
O 0.5965 0.2558 0.9025  4 Li 1.88-2.01
O 0.7442 0.0975 0.4035  4 Li 1.88-2.01
O 0.9025 0.5965 0.2558  4 Li 1.88-2.01

Results
**Total magnetization**: 1.0 μB/cell
**Raw total energy**: -5.31 eV/atom
**Symmetry**: R-3 (148)


9.
A relaxed PrTmW crystal. Source: the Open Quantum Materials Database, functional PBE-GGA.

abc: 4.9093 4.9093 4.9093
angles: 60.00 60.00 60.00
Last column: nearest neighbours and their distance in Å.
Atoms (fractional coordinates):
Pr 0.0000 0.0000 0.0000  4 W 3.01
Tm 0.5000 0.5000 0.5000  4 W 3.01
W 0.2500 0.2500 0.2500  4 Pr 3.01, 4 Tm 3.01

Results
**Total magnetization**: 0.0 μB/cell
**Excess energy over the best structure of this formula in the dataset**: 0 meV per atom
**Symmetry**: F-43m (216)
**Energy of formation**: 0.86 eV/atom


10.
A relaxed FeCo3P4 crystal. Source: the Open Quantum Materials Database, functional PBE-GGA.

abc: 5.0270 3.2365 5.5804
angles: 90.00 90.15 90.00
Last column: nearest neighbours and their distance in Å.
Atoms (fractional coordinates):
Fe 0.0000 0.0000 0.0000  6 P 2.20-2.32
Co 0.0038 0.5000 0.6035  6 P 2.20-2.33
Co 0.4995 0.0000 0.1036  6 P 2.21-2.35
Co 0.5028 0.5000 0.5012  6 P 2.22-2.35
P 0.1883 0.5000 0.2210  4 Co 2.22-2.35, 2 Fe 2.24
P 0.3090 0.0000 0.7223  1 Fe 2.20, 5 Co 2.26-2.33
P 0.6973 0.5000 0.8847  4 Co 2.20-2.35, 2 Fe 2.31
P 0.8143 0.0000 0.3802  5 Co 2.21-2.35, 1 Fe 2.32

Results
**Total magnetization**: 0.0 μB/cell
**Raw total energy**: -7.01 eV/atom
**Symmetry**: Pm (6)


11.
A relaxed TmCd2Sn crystal. Source: the Open Quantum Materials Database, functional PBE-GGA.

abc: 4.4182 4.4182 4.8097
angles: 90.00 90.00 90.00
Last column: nearest neighbours and their distance in Å.
Atoms (fractional coordinates):
Tm 0.0000 0.0000 0.0000  4 Sn 3.12, 8 Cd 3.27
Cd 0.0000 0.5000 0.5000  4 Cd 3.12, 4 Sn 3.27, 4 Tm 3.27
Cd 0.5000 0.0000 0.5000  4 Cd 3.12, 4 Sn 3.27, 4 Tm 3.27
Sn 0.5000 0.5000 0.0000  4 Tm 3.12, 8 Cd 3.27

Results
**Total magnetization**: 0.0 μB/cell
**Raw total energy**: -2.95 eV/atom
**Symmetry**: P4/mmm (123)


12.
A relaxed AlFeCuMo crystal. Source: the Open Quantum Materials Database, functional PBE-GGA.

abc: 4.2342 4.2342 4.2342
angles: 60.00 60.00 60.00
Last column: nearest neighbours and their distance in Å.
Atoms (fractional coordinates):
Al 0.0000 0.0000 0.0000  4 Fe 2.59, 4 Mo 2.59
Fe 0.7500 0.7500 0.7500  4 Cu 2.59, 4 Al 2.59
Cu 0.5000 0.5000 0.5000  4 Mo 2.59, 4 Fe 2.59
Mo 0.2500 0.2500 0.2500  4 Cu 2.59, 4 Al 2.59

Results
**Total magnetization**: 2.7 μB/cell
**Excess energy over the best structure of this formula in the dataset**: 245 meV per atom
**Symmetry**: F-43m (216)


| no. | calculated volume (Å³ per atom) |
| --- | --- |
| 1 | 14.78 |
| 2 | 19.95 |
| 3 | 20.81 |
| 4 | 26.18 |
| 5 | 25.88 |
| 6 | 15.39 |
| 7 | 25.17 |
| 8 | 9.46 |
| 9 | 27.89 |
| 10 | 11.35 |
| 11 | 23.47 |
| 12 | 13.42 |